No. 1
VASP calculation (PBE-GGA) on an optimized crystal structure of Ho5U2Ru5.

Values from the calculation:
- total energy (eV per atom) = -7.90

Lattice parameters (Å, degrees): 4.8289 5.3228 12.0298 91.97 101.52 116.95
Closest atoms and distances in Å follow each position.
Fractional positions:
Ho  0.0000  0.0000  0.0000  4 Ru 2.98-2.99
Ho  0.3727  0.1975  0.5482  5 Ru 2.91-3.16, 3 Ho 3.17-3.23
Ho  0.4198  0.6839  0.1555  5 Ru 2.83-2.99
Ho  0.5802  0.3161  0.8445  5 Ru 2.83-2.99
Ho  0.6273  0.8025  0.4518  5 Ru 2.91-3.16, 3 Ho 3.17-3.23
U  0.1987  0.6833  0.7145  3 Ru 2.38-2.55
U  0.8013  0.3167  0.2855  3 Ru 2.38-2.55
Ru  0.0000  0.5000  0.5000  2 U 2.55
Ru  0.0712  0.8422  0.3004  1 U 2.47
Ru  0.2898  0.6651  0.9148  1 U 2.38
Ru  0.7102  0.3349  0.0852  1 U 2.38
Ru  0.9288  0.1578  0.6996  1 U 2.47

=====

No. 2
VASP calculation (PBE-GGA) on an optimized crystal structure of BaCa2CuN.

Values from the calculation:
- total energy (eV per atom) = -3.95

Lattice parameters (Å, degrees): 4.7960 4.7960 5.7846 90.00 90.00 90.00
Closest atoms and distances in Å follow each position.
Fractional positions:
Ba  0.0000  0.0000  0.0000  2 N 2.89
Ca  0.0000  0.5000  0.5000  2 N 2.40
Ca  0.5000  0.0000  0.5000  2 N 2.40
Cu  0.5000  0.5000  0.0000  4 Ba 3.39, 8 Ca 3.76
N  0.0000  0.0000  0.5000  4 Ca 2.40

=====

No. 3
VASP calculation (PBE-GGA) on an optimized crystal structure of BaMgCd2.

Values from the calculation:
- total energy (eV per atom) = -1.38

Lattice parameters (Å, degrees): 10.6867 10.6867 10.6867 150.43 150.43 42.31
Closest atoms and distances in Å follow each position.
Fractional positions:
Ba  0.0000  0.0000  0.0000  4 Cd 3.65, 4 Mg 3.86
Ba  0.7500  0.2500  0.5000  4 Cd 3.65, 4 Mg 3.86
Mg  0.2500  0.7500  0.5000  4 Cd 2.87
Mg  0.5000  0.5000  0.0000  4 Cd 2.87
Cd  0.2958  0.6250  0.1708  2 Cd 2.86, 2 Mg 2.87
Cd  0.3750  0.5458  0.6708  2 Cd 2.86, 2 Mg 2.87
Cd  0.4542  0.1250  0.8292  2 Cd 2.86, 2 Mg 2.87
Cd  0.8750  0.7042  0.3292  2 Cd 2.86, 2 Mg 2.87